First-principles (GGA-PBE) data for a relaxed structure of ThAlOs2, as listed in Alexandria via LeMat-Bulk.

Geometry as CIF:
```
data_ThAlOs2
_space_group_name_H-M_alt 'P 1'
_space_group_IT_number 1
_cell_length_a 4.505
_cell_length_b 4.505
_cell_length_c 5.544
_cell_angle_alpha 66.03
_cell_angle_beta 66.03
_cell_angle_gamma 60.00
loop_
_space_group_symop_operation_xyz
'x,y,z'
loop_
_atom_site_label
_atom_site_type_symbol
_atom_site_fract_x
_atom_site_fract_y
_atom_site_fract_z
Os1 Os 0.317 0.317 0.050
Os2 Os 0.683 0.683 0.950
Al1 Al 0.000 0.000 0.000
Th1 Th 0.500 0.500 0.500
```

Values from the calculation:
SG = R-3m, No. 166
density = 12340 kg/m³
raw total energy = -8.573 eV/atom
E above lowest polymorph = 0 meV per atom
DOS at the Fermi energy = 3.72 states/eV/f.u.
formation energy = -0.17 eV per atom
crystal system = trigonal